A relaxed PrGdPt crystal, computed with PBE.

Unit cell a=7.352 b=4.892 c=8.953 alpha=90.00 beta=90.00 gamma=90.00
Fractional positions:
Pr: 0.008 0.250 0.172
Pr: 0.492 0.750 0.672
Pr: 0.508 0.250 0.328
Pr: 0.992 0.750 0.828
Gd: 0.144 0.250 0.582
Gd: 0.356 0.750 0.082
Gd: 0.644 0.250 0.918
Gd: 0.856 0.750 0.418
Pt: 0.248 0.750 0.412
Pt: 0.252 0.250 0.912
Pt: 0.748 0.750 0.088
Pt: 0.752 0.250 0.588

Calculated values
For the total energy, the calculation gives -6.0216 eV/atom. The calculation puts the formation energy at -860 meV per atom. The total moment is 0.0 μB/cell. Its crystal system is orthorhombic. The calculation puts the volume at 26.83 Å³ per atom. As for the offset from the most stable computed form: 0.000 eV/atom.